First-principles (PBE) data for crystalline CePm4Dy7 at its relaxed geometry, as listed in Alexandria via LeMat-Bulk.

Cell lengths 5.989, 6.949, 10.067 Å; angles 110.15, 90.13, 90.06 degrees
Space group P-1 (No. 2)
Symmetry-distinct sites (fractional):
Ce (0.000, 0.000, 0.000) (multiplicity 1)
Pm (0.252, 0.139, 0.729) (multiplicity 2)
Pm (0.252, 0.589, 0.729) (multiplicity 2)
Dy (0.247, 0.716, 0.432) (multiplicity 2)
Dy (0.250, 0.541, 0.081) (multiplicity 2)
Dy (0.251, 0.186, 0.371) (multiplicity 2)
Dy (0.500, 0.000, 0.000) (multiplicity 1)

- Crystal system: triclinic
- Total magnetization: 1.4 μB/f.u.
- E: -4.6119 eV/atom
- Calculated density: 7.8 g cm⁻³



First-principles (PBE) data for crystalline CePm14Dy at its relaxed geometry, as listed in Alexandria via LeMat-Bulk.

Cell lengths 7.280, 7.280, 10.288 Å; angles 90.00, 90.00, 90.00 degrees
Space group P4/mmm (No. 123)
Symmetry-distinct sites (fractional):
Ce (0.000, 0.000, 0.000) (multiplicity 1)
Pm (0.000, 0.000, 0.500) (multiplicity 1)
Pm (0.000, 0.500, 0.000) (multiplicity 2)
Pm (0.000, 0.500, 0.500) (multiplicity 2)
Pm (0.249, 0.249, 0.248) (multiplicity 8)
Pm (0.500, 0.500, 0.500) (multiplicity 1)
Dy (0.500, 0.500, 0.000) (multiplicity 1)

- Crystal system: tetragonal
- Total magnetization: 1.1 μB/f.u.
- E: -4.7849 eV/atom
- Calculated density: 7.1 g cm⁻³



First-principles (PBE) data for crystalline CePm12Dy7 at its relaxed geometry, as listed in Alexandria via LeMat-Bulk.

Cell lengths 19.5979, 19.5979, 6.1575 Å; angles 90.00, 90.00, 120.00 degrees
Space group R-3 (No. 148, hexagonal axes)
Symmetry-distinct sites (fractional):
Ce (0.0000, 0.0000, 0.0000) (multiplicity 3)
Pm (0.0004, 0.4130, 0.5001) (multiplicity 18)
Pm (0.0963, 0.5486, 0.9716) (multiplicity 18)
Dy (0.0000, 0.0000, 0.5000) (multiplicity 3)
Dy (0.0801, 0.9188, 0.7981) (multiplicity 18)

- Crystal system: trigonal
- Total magnetization: 0.0 μB/f.u.
- E: -4.5094 eV/atom
- Calculated density: 7.3 g cm⁻³



First-principles (PBE) data for crystalline CePmPr6Dy2 at its relaxed geometry, as listed in Alexandria via LeMat-Bulk.

Cell lengths 11.340, 7.093, 8.972 Å; angles 90.00, 102.41, 90.00 degrees
Space group C2/m (No. 12)
Symmetry-distinct sites (fractional):
Ce (0.000, 0.000, 0.000) (multiplicity 2)
Pm (0.000, 0.500, 0.500) (multiplicity 2)
Pr (0.129, 0.000, 0.418) (multiplicity 4)
Pr (0.170, 0.265, 0.798) (multiplicity 8)
Dy (0.093, 0.500, 0.157) (multiplicity 4)

- Crystal system: monoclinic
- Total magnetization: 1.2 μB/f.u.
- E: -4.6267 eV/atom
- Calculated density: 6.9 g cm⁻³



First-principles (PBE) data for crystalline Ce2Pm3PrDy6 at its relaxed geometry, as listed in Alexandria via LeMat-Bulk.

Cell lengths 6.209, 10.757, 11.786 Å; angles 90.00, 100.12, 90.00 degrees
Space group C2/m (No. 12)
Symmetry-distinct sites (fractional):
Ce (0.000, 0.167, 0.000) (multiplicity 4)
Pm (0.000, 0.000, 0.500) (multiplicity 2)
Pm (0.000, 0.334, 0.500) (multiplicity 4)
Pr (0.000, 0.500, 0.000) (multiplicity 2)
Dy (0.247, 0.000, 0.248) (multiplicity 4)
Dy (0.249, 0.168, 0.752) (multiplicity 8)

- Crystal system: monoclinic
- Total magnetization: 1.9 μB/f.u.
- E: -4.8290 eV/atom
- Calculated density: 7.8 g cm⁻³



First-principles (PBE) data for crystalline CePm2Pr6Dy at its relaxed geometry, as listed in Alexandria via LeMat-Bulk.

Cell lengths 11.495, 7.093, 8.992 Å; angles 90.00, 104.82, 90.00 degrees
Space group C2/m (No. 12)
Symmetry-distinct sites (fractional):
Ce (0.000, 0.000, 0.000) (multiplicity 2)
Pm (0.088, 0.500, 0.166) (multiplicity 4)
Pr (0.122, 0.000, 0.414) (multiplicity 4)
Pr (0.178, 0.264, 0.796) (multiplicity 8)
Dy (0.000, 0.500, 0.500) (multiplicity 2)

- Crystal system: monoclinic
- Total magnetization: 0.9 μB/f.u.
- E: -4.6455 eV/atom
- Calculated density: 6.7 g cm⁻³



First-principles (PBE) data for crystalline CePm2DyPt2 at its relaxed geometry, as listed in Alexandria via LeMat-Bulk.

Cell lengths 6.796, 14.341, 6.753 Å; angles 90.00, 90.00, 90.00 degrees
Space group Ibam (No. 72)
Symmetry-distinct sites (fractional):
Ce (0.000, 0.000, 0.250) (multiplicity 4)
Pm (0.234, 0.190, 0.000) (multiplicity 8)
Dy (0.000, 0.500, 0.250) (multiplicity 4)
Pt (0.246, 0.115, 0.500) (multiplicity 8)

- Crystal system: orthorhombic
- Total magnetization: 0.5 μB/f.u.
- E: -6.1047 eV/atom
- Calculated density: 9.9 g cm⁻³



First-principles (PBE) data for crystalline Ce3Pm3DyS8 at its relaxed geometry, as listed in Alexandria via LeMat-Bulk.

Cell lengths 8.0485, 8.0485, 19.6748 Å; angles 90.00, 90.00, 120.00 degrees
Space group R-3m (No. 166, hexagonal axes)
Symmetry-distinct sites (fractional):
Ce (0.0000, 0.5000, 0.0000) (multiplicity 9)
Pm (0.0000, 0.5000, 0.5000) (multiplicity 9)
Dy (0.0000, 0.0000, 0.0000) (multiplicity 3)
S (0.0000, 0.0000, 0.2499) (multiplicity 6)
S (0.0076, 0.5038, 0.7481) (multiplicity 18)

- Crystal system: trigonal
- ΔE_f (raw): -2.05 eV/atom
- Total magnetization: 3.1 μB/f.u.
- E: -6.6991 eV/atom
- Calculated density: 5.8 g cm⁻³



First-principles (PBE) data for crystalline Ce2Pm3DyS6 at its relaxed geometry, as listed in Alexandria via LeMat-Bulk.

Cell lengths 6.940, 12.035, 6.947 Å; angles 90.00, 109.56, 90.00 degrees
Space group C2/m (No. 12)
Symmetry-distinct sites (fractional):
Ce (0.000, 0.166, 0.000) (multiplicity 4)
Pm (0.000, 0.000, 0.500) (multiplicity 2)
Pm (0.000, 0.333, 0.500) (multiplicity 4)
Dy (0.000, 0.500, 0.000) (multiplicity 2)
S (0.246, 0.336, 0.245) (multiplicity 8)
S (0.246, 0.500, 0.754) (multiplicity 4)

- Crystal system: monoclinic
- ΔE_f (raw): -2.04 eV/atom
- Total magnetization: 1.5 μB/f.u.
- E: -6.6595 eV/atom
- Calculated density: 6.5 g cm⁻³



First-principles (PBE) data for crystalline Ce2PmDyS4 at its relaxed geometry, as listed in Alexandria via LeMat-Bulk.

Cell lengths 6.920, 3.984, 6.952 Å; angles 90.00, 109.31, 90.00 degrees
Space group P2/m (No. 10)
Symmetry-distinct sites (fractional):
Ce (0.000, 0.000, 0.000) (multiplicity 1)
Ce (0.500, 0.500, 0.000) (multiplicity 1)
Pm (0.000, 0.500, 0.500) (multiplicity 1)
Dy (0.500, 0.000, 0.500) (multiplicity 1)
S (0.254, 0.000, 0.746) (multiplicity 2)
S (0.258, 0.500, 0.258) (multiplicity 2)

- Crystal system: monoclinic
- ΔE_f (raw): -2.03 eV/atom
- Total magnetization: 1.6 μB/f.u.
- E: -6.7501 eV/atom
- Calculated density: 6.6 g cm⁻³



First-principles (PBE) data for crystalline Ce2PmDy3S6 at its relaxed geometry, as listed in Alexandria via LeMat-Bulk.

Cell lengths 6.836, 11.853, 6.923 Å; angles 90.00, 109.29, 90.00 degrees
Space group C2/m (No. 12)
Symmetry-distinct sites (fractional):
Ce (0.000, 0.166, 0.000) (multiplicity 4)
Pm (0.000, 0.500, 0.000) (multiplicity 2)
Dy (0.000, 0.000, 0.500) (multiplicity 2)
Dy (0.000, 0.335, 0.500) (multiplicity 4)
S (0.246, 0.167, 0.738) (multiplicity 8)
S (0.247, 0.500, 0.740) (multiplicity 4)

- Crystal system: monoclinic
- ΔE_f (raw): -2.03 eV/atom
- Total magnetization: 1.5 μB/f.u.
- E: -6.6276 eV/atom
- Calculated density: 6.9 g cm⁻³